Entry 1:
GeMoAsBr2 | PBE | optimized geometry

ΔE_f (raw): 911 meV per atom
Total energy: -0.27768 Ry/atom
Magnetization: 3.50 μB/f.u.
Energy above the most stable polymorph in this dataset: 400 meV/atom

Cell and atoms, written as CIF:
```
data_GeMoAsBr2
_symmetry_space_group_name_H-M 'P 4/m m m'
_symmetry_Int_Tables_number 123
_symmetry_space_group_name_Hall '-P 4 2'
_cell_length_a 5.175
_cell_length_b 5.175
_cell_length_c 5.251
_cell_angle_alpha 90.00
_cell_angle_beta 90.00
_cell_angle_gamma 90.00
loop_
_atom_site_label
_atom_site_fract_x
_atom_site_fract_y
_atom_site_fract_z
Ge1 0.000 0.000 0.000
Mo1 0.500 0.500 0.500
As1 0.000 0.000 0.500
Br1 0.000 0.500 0.000
```

=====

Entry 2:
Cu2Pd8Pt | PBE | optimized geometry

Calculated formation energy: 255 meV/atom
Total energy: -0.35393 Ry/atom
Magnetization: 0.00 μB/f.u.
Energy above the most stable polymorph in this dataset: 302 meV/atom

Cell and atoms, written as CIF:
```
data_Cu2Pd8Pt
_symmetry_space_group_name_H-M 'C 1 2/m 1'
_symmetry_Int_Tables_number 12
_cell_length_a 11.753
_cell_length_b 7.040
_cell_length_c 4.602
_cell_angle_alpha 90.00
_cell_angle_beta 104.19
_cell_angle_gamma 90.00
loop_
_symmetry_equiv_pos_as_xyz
'x,y,z'
'-x,-y,-z'
'-x,y,-z'
'x,-y,z'
'x+1/2,y+1/2,z'
'-x+1/2,-y+1/2,-z'
'-x+1/2,y+1/2,-z'
'x+1/2,-y+1/2,z'
loop_
_atom_site_label
_atom_site_fract_x
_atom_site_fract_y
_atom_site_fract_z
Cu1 0.119 0.000 0.032
Pd1 0.069 0.308 0.284
Pd2 0.147 0.500 0.833
Pd3 0.226 0.000 0.584
Pt1 0.000 0.000 0.500
```

=====

Entry 3:
RbNd3Dy2Te6 | PBE | optimized geometry

ΔE_f (raw): -1319 meV per atom
Total energy: -0.36228 Ry/atom
Magnetization: 0.00 μB/f.u.

Cell and atoms, written as CIF:
```
data_RbNd3Dy2Te6
_symmetry_space_group_name_H-M 'C 1 2/m 1'
_symmetry_Int_Tables_number 12
_cell_length_a 19.743
_cell_length_b 4.459
_cell_length_c 9.224
_cell_angle_alpha 90.00
_cell_angle_beta 103.55
_cell_angle_gamma 90.00
loop_
_symmetry_equiv_pos_as_xyz
'x,y,z'
'-x,-y,-z'
'-x,y,-z'
'x,-y,z'
'x+1/2,y+1/2,z'
'-x+1/2,-y+1/2,-z'
'-x+1/2,y+1/2,-z'
'x+1/2,-y+1/2,z'
loop_
_atom_site_label
_atom_site_fract_x
_atom_site_fract_y
_atom_site_fract_z
Rb1 0.000 0.000 0.000
Nd1 0.000 0.000 0.500
Nd2 0.157 0.500 0.815
Dy1 0.167 0.500 0.341
Te1 0.008 0.500 0.268
Te2 0.169 0.000 0.575
Te3 0.177 0.000 0.094
```

=====

Entry 4:
CdTcRh | PBE | optimized geometry

Calculated formation energy: 507 meV/atom
Total energy: -0.41921 Ry/atom
Magnetization: 0.00 μB/f.u.
Energy above the most stable polymorph in this dataset: 558 meV/atom

Cell and atoms, written as CIF:
```
data_CdTcRh
_symmetry_space_group_name_H-M 'F -4 3 m'
_symmetry_Int_Tables_number 216
_symmetry_space_group_name_Hall 'F -4 2 3'
_cell_length_a 6.067
_cell_length_b 6.067
_cell_length_c 6.067
_cell_angle_alpha 90.00
_cell_angle_beta 90.00
_cell_angle_gamma 90.00
loop_
_atom_site_label
_atom_site_fract_x
_atom_site_fract_y
_atom_site_fract_z
Cd1 0.000 0.000 0.000
Tc1 0.000 0.000 0.500
Rh1 0.250 0.250 0.750
```

=====

Question: The highest total energy belongs to which entry?
Answer: GeMoAsBr2

=====

Question: Which formula does entry 3 have?
Answer: RbNd3Dy2Te6